Compound: Tb3Ga2Sn2
Source: the Alexandria database
Functional: PBE-GGA
Structure: optimized geometry

Computed properties:
Its formation energy is -0.66 eV per atom.

Cell lengths 4.2668, 4.3846, 18.8888 Å; angles 90.00, 90.00, 90.00 degrees
Closest atoms and distances in Å follow each position.
Space group Immm (No. 71)
Unique sites:
Tb 0.0000 0.0000 0.0000 x2  8 Ga 3.29, 4 Sn 3.59
Tb 0.0000 0.5000 0.3178 x4  5 Sn 3.12-3.16, 2 Ga 3.13
Ga 0.0000 0.0000 0.4364 x4  1 Ga 2.40, 2 Sn 2.69
Sn 0.0000 0.5000 0.1506 x4  2 Ga 2.69

=====

Compound: TbGaSn
Source: the Alexandria database
Functional: PBE-GGA
Structure: optimized geometry

Computed properties:
Its formation energy is -0.46 eV per atom.

Cell lengths 5.7370, 8.2154, 6.1336 Å; angles 90.00, 90.00, 90.00 degrees
Closest atoms and distances in Å follow each position.
Space group Cmcm (No. 63)
Unique sites:
Tb 0.0000 0.1613 0.2500 x4  5 Ga 2.95-3.09, 2 Sn 3.18
Ga 0.0000 0.1973 0.7500 x4  2 Sn 2.92, 5 Tb 2.95-3.09
Sn 0.0000 0.5000 0.0000 x4  2 Ga 2.92, 2 Sn 3.07, 2 Tb 3.18

=====

Compound: TbGaSn2
Source: the Alexandria database
Functional: PBE-GGA
Structure: optimized geometry

Computed properties:
Its formation energy is -0.23 eV per atom. For the polymorph energy (0 for the lowest one), the calculation gives 24.2 kJ/mol of atoms.

Cell lengths 4.8824, 4.8824, 15.0532 Å; angles 90.00, 90.00, 120.00 degrees
Closest atoms and distances in Å follow each position.
Space group R-3m (No. 166, hexagonal axes)
Unique sites:
Tb 0.0000 0.0000 0.0000 x3  8 Sn 3.25-3.40
Ga 0.0000 0.0000 0.5000 x3  6 Sn 2.96
Sn 0.0000 0.0000 0.2258 x6  3 Ga 2.96, 3 Tb 3.25

=====

Compound: Tb2Ga9Sn
Source: the Alexandria database
Functional: PBE-GGA
Structure: optimized geometry

Computed properties:
Its formation energy is -0.30 eV per atom.

Cell lengths 4.2839, 4.2839, 13.2451 Å; angles 90.00, 90.00, 90.00 degrees
Closest atoms and distances in Å follow each position.
Space group P4/mmm (No. 123)
Unique sites:
Tb 0.0000 0.0000 0.1607 x2  12 Ga 3.02-3.09
Ga 0.0000 0.5000 0.0000 x2  8 Ga 3.01-3.03, 4 Tb 3.02
Ga 0.0000 0.5000 0.3291 x4  8 Ga 3.03-3.12, 2 Tb 3.09, 2 Sn 3.12
Ga 0.5000 0.5000 0.1599 x2  8 Ga 3.01-3.10, 4 Tb 3.03
Ga 0.5000 0.5000 0.5000 x1  4 Sn 3.03, 8 Ga 3.12
Sn 0.0000 0.0000 0.5000 x1  12 Ga 3.03-3.12

=====

Compound: Tb2GaSn
Source: the Alexandria database
Functional: PBE-GGA
Structure: optimized geometry

Computed properties:
Its formation energy is -0.47 eV per atom.

Cell lengths 3.7461, 3.7461, 26.8693 Å; angles 90.00, 90.00, 120.00 degrees
Closest atoms and distances in Å follow each position.
Space group R-3m (No. 166, hexagonal axes)
Unique sites:
Tb 0.0000 0.0000 0.2438 x6  3 Ga 3.00, 3 Sn 3.23
Ga 0.0000 0.0000 0.5000 x3  6 Tb 3.00
Sn 0.0000 0.0000 0.0000 x3  6 Tb 3.23

=====

Compound: TbGaSn
Source: the Alexandria database
Functional: PBE-GGA
Structure: optimized geometry

Computed properties:
Its formation energy is -0.50 eV per atom.

Cell lengths 3.8703, 17.6077, 4.2502 Å; angles 90.00, 90.00, 90.00 degrees
Closest atoms and distances in Å follow each position.
Space group Cmcm (No. 63)
Unique sites:
Tb 0.0000 0.1004 0.2500 x4  6 Ga 3.06-3.15, 5 Sn 3.41-3.42
Ga 0.0000 0.4590 0.2500 x4  2 Ga 2.57
Sn 0.0000 0.2939 0.2500 x4  1 Ga 2.91

=====

Compound: TbGaSn
Source: the Alexandria database
Functional: PBE-GGA
Structure: optimized geometry

Computed properties:
Its formation energy is -0.55 eV per atom.

Cell lengths 4.3970, 4.3970, 4.4020 Å; angles 90.00, 90.00, 120.00 degrees
Closest atoms and distances in Å follow each position.
Space group P3m1 (No. 156)
Unique sites:
Tb 0.0000 0.0000 0.0000 x1  3 Ga 2.94, 3 Sn 3.18
Ga 0.6667 0.3333 0.6628 x1  3 Sn 2.73, 3 Tb 2.94
Sn 0.3333 0.6667 0.4363 x1  3 Ga 2.73

=====

Compound: Tb2Ga2Sn3
Source: the Alexandria database
Functional: PBE-GGA
Structure: optimized geometry

Computed properties:
Its formation energy is -0.50 eV per atom.

Cell lengths 10.9855, 4.5112, 6.8630 Å; angles 90.00, 100.04, 90.00 degrees
Closest atoms and distances in Å follow each position.
Space group C2/m (No. 12)
Unique sites:
Tb 0.1135 0.0000 0.3055 x4  3 Ga 3.04, 5 Sn 3.18-3.35
Ga 0.1055 0.5000 0.6006 x4  1 Ga 2.48
Sn 0.0000 0.5000 0.0000 x2  2 Ga 3.16, 4 Tb 3.18, 6 Sn 3.37-3.43
Sn 0.1925 0.0000 0.8320 x4  2 Ga 2.83

=====

Compound: Tb2GaSn
Source: the Alexandria database
Functional: PBE-GGA
Structure: optimized geometry

Computed properties:
Its formation energy is -0.59 eV per atom.

Cell lengths 4.8769, 4.8769, 4.2166 Å; angles 90.00, 90.00, 90.00 degrees
Closest atoms and distances in Å follow each position.
Space group P4/mmm (No. 123)
Unique sites:
Tb 0.0000 0.5000 0.0000 x2  4 Sn 3.22, 4 Ga 3.22, 4 Tb 3.45
Ga 0.0000 0.0000 0.5000 x1  8 Tb 3.22, 4 Sn 3.45
Sn 0.5000 0.5000 0.5000 x1  8 Tb 3.22, 4 Ga 3.45

=====

Compound: Tb3GaSn3
Source: the Alexandria database
Functional: PBE-GGA
Structure: optimized geometry

Computed properties:
Its formation energy is -0.41 eV per atom.

Cell lengths 8.6722, 8.6722, 5.6244 Å; angles 90.00, 90.00, 120.00 degrees
Closest atoms and distances in Å follow each position.
Space group P6_3/m (No. 176)
Unique sites:
Tb 0.0902 0.4493 0.2500 x6  5 Sn 3.06-3.37, 1 Ga 3.29
Ga 0.3333 0.6667 0.7500 x2  3 Sn 3.14, 9 Tb 3.29-3.45
Sn 0.0562 0.2569 0.7500 x6  5 Tb 3.06-3.37, 1 Ga 3.14

=====

Compound: Tb2GaSn
Source: the Alexandria database
Functional: PBE-GGA
Structure: optimized geometry

Computed properties:
Its formation energy is -0.71 eV per atom.

Cell lengths 6.0372, 4.1682, 8.7329 Å; angles 90.00, 107.92, 90.00 degrees
Closest atoms and distances in Å follow each position.
Space group P2_1/m (No. 11)
Unique sites:
Tb 0.1981 0.2500 0.4253 x2  3 Ga 3.07-3.38, 4 Sn 3.16-3.29
Tb 0.2809 0.7500 0.0640 x2  3 Ga 3.06-3.08, 3 Sn 3.17-3.30
Ga 0.1227 0.2500 0.7930 x2  2 Sn 2.80, 5 Tb 3.06-3.08
Sn 0.3739 0.7500 0.7104 x2  2 Ga 2.80

=====

Compound: Tb4Ga2Sn
Source: the Alexandria database
Functional: PBE-GGA
Structure: optimized geometry

Computed properties:
Its formation energy is -0.37 eV per atom.

Cell lengths 4.8420, 4.8420, 29.6479 Å; angles 90.00, 90.00, 120.00 degrees
Closest atoms and distances in Å follow each position.
Space group R-3m (No. 166, hexagonal axes)
Unique sites:
Tb 0.0000 0.0000 0.1166 x6  3 Ga 3.14, 3 Sn 3.17
Tb 0.0000 0.0000 0.2985 x6  4 Ga 2.96-3.05
Ga 0.0000 0.0000 0.4013 x6  1 Sn 2.93, 7 Tb 2.96-3.14
Sn 0.0000 0.0000 0.5000 x3  2 Ga 2.93, 6 Tb 3.17

=====

Quick rundown of total energy, same order as above: -4.656 -4.345 -4.141 -3.675 -4.541 -4.386 -4.438 -4.407 -4.666 -4.544 -4.784 -4.452 eV per atom